1.
Density functional theory data (PBE) for an optimized crystal structure of NaCaAs2.

Cell lengths 7.160, 7.160, 7.160 Å; angles 90.00, 90.00, 90.00 degrees
Space group Fm-3m (No. 225)
Inequivalent atoms, fractional coordinates:
Na1 0.000 0.000 0.000 (multiplicity 4)
Ca1 0.000 0.000 0.500 (multiplicity 4)
As1 0.250 0.250 0.250 (multiplicity 8)

Values from the calculation:
Energy relative to the lowest polymorph listed for this composition: 105 meV/atom
DOS at the Fermi energy: 2.34 states/eV/f.u.
Magnetization: 0.000 μB/cell
Energy of formation: -485 meV per atom
Raw total energy: -3.640 eV/atom

---

2.
Density functional theory data (PBE) for an optimized crystal structure of Na2Ca2As.

Cell lengths 7.748, 7.748, 6.206 Å; angles 90.00, 90.00, 90.00 degrees
Space group P4/mbm (No. 127)
Inequivalent atoms, fractional coordinates:
Na1 0.155 0.345 0.000 (multiplicity 4)
Ca1 0.175 0.675 0.500 (multiplicity 4)
As1 0.000 0.000 0.500 (multiplicity 2)

Values from the calculation:
DOS at the Fermi energy: 4.40 states/eV/f.u.
Magnetization: 0.000 μB/cell
Energy of formation: -278 meV per atom
Raw total energy: -2.536 eV/atom

---

3.
Density functional theory data (PBE) for an optimized crystal structure of Na2CaAs.

Cell lengths 4.366, 4.366, 23.304 Å; angles 90.00, 90.00, 90.00 degrees
Space group I-42d (No. 122)
Inequivalent atoms, fractional coordinates:
Na1 0.213 0.250 0.125 (multiplicity 8)
Ca1 0.000 0.000 0.500 (multiplicity 4)
As1 0.000 0.000 0.000 (multiplicity 4)

Values from the calculation:
DOS at the Fermi energy: 1.60 states/eV/f.u.
Magnetization: 0.000 μB/cell
Energy of formation: -324 meV per atom
Raw total energy: -2.646 eV/atom